(1)
HfPt | meta-GGA SCAN | single point on PBEsol structure

final energy	-67.84	eV per atom
M_tot	0.0	μB/f.u.

Cell lengths 3.3363, 4.2586, 5.3786 Å; angles 90.00, 108.07, 90.00 degrees
Fractional positions:
Hf 0.8576 0.7500 0.7151
Hf 0.1424 0.2500 0.2849
Pt 0.5920 0.7500 0.1840
Pt 0.4080 0.2500 0.8160


(2)
Si2RuBr | meta-GGA SCAN | single point on PBEsol structure

M_tot	0.0	μB/f.u.
formation energy without anion corrections	881.4	meV/atom

Cell lengths 2.9335, 4.4349, 4.6948 Å; angles 90.00, 90.00, 90.00 degrees
Fractional positions:
Br 0.5000 0.0000 0.5000
Ru 0.0000 0.5000 0.5000
Si 0.0000 0.0000 0.0000
Si 0.5000 0.5000 0.0000


(3)
LaRhW | meta-GGA SCAN | single point on PBEsol structure

distance to the lowest polymorph of the same formula	0.037	eV/atom
M_tot	0.0	μB/f.u.

Cell lengths 3.0421, 4.6992, 4.6992 Å; angles 120.00, 90.00, 90.00 degrees
Fractional positions:
La 0.0000 0.0000 0.0000
Rh 0.5000 0.6667 0.3333
W 0.5000 0.3333 0.6667


(4)
POs3O | meta-GGA SCAN | single point on PBEsol structure

M_tot	0.0	μB/f.u.
formation energy without anion corrections	1348.0	meV/atom

Cell lengths 4.0388, 4.0388, 4.0388 Å; angles 90.00, 90.00, 90.00 degrees
Fractional positions:
P 0.5000 0.5000 0.5000
Os 0.0000 0.5000 0.0000
Os 0.0000 0.0000 0.5000
Os 0.5000 0.0000 0.0000
O 0.0000 0.0000 0.0000


(5)
MgCdHg2 | meta-GGA SCAN | single point on PBEsol structure

final energy	-43.09	eV per atom
M_tot	0.0	μB/f.u.

Cell lengths 4.6202, 5.1296, 4.6202 Å; angles 116.77, 90.00, 116.77 degrees
Fractional positions:
Mg 0.0000 0.0000 0.0000
Hg 0.7500 0.5000 0.2500
Hg 0.2500 0.5000 0.7500
Cd 0.5000 0.0000 0.5000


(6)
BeAs2O | meta-GGA SCAN | single point on PBEsol structure

M_tot	0.2	μB/f.u.
formation energy without anion corrections	468.8	meV/atom

Cell lengths 4.1304, 4.1304, 4.1304 Å; angles 60.00, 60.00, 60.00 degrees
Site moments in Bohr magnetons follow the coordinates.
Fractional positions:
Be 0.0000 0.0000 0.0000  0.01
As 0.2500 0.2500 0.2500  0.00
As 0.7500 0.7500 0.7500  0.00
O 0.5000 0.5000 0.5000  0.17